The following is a PBE calculation of a relaxed structure of HgTe2CN, from Alexandria via LeMat-Bulk.

Values from the calculation:
**Raw formation energy**: 2.489 eV per atom
**M_tot**: 2.2 μB per cell
**Offset from the most stable computed form**: 1.7090 eV per atom

Lattice parameters (Å, degrees): 5.7458 5.7458 4.0655 90.00 90.00 90.00
Atoms (fractional coordinates):
C  0.5000  0.5000  0.5000
Te  0.0000  0.5000  0.0000
Te  0.5000  0.0000  0.0000
Hg  0.0000  0.0000  0.0000
N  0.0000  0.0000  0.5000



The following is a PBE calculation of a relaxed structure of Th6Hg3C2N, from Alexandria via LeMat-Bulk.

Values from the calculation:
**Raw formation energy**: -0.473 eV per atom
**M_tot**: 0.0 μB per cell

Lattice parameters (Å, degrees): 6.4490 6.4490 8.3834 97.38 97.38 119.94
Atoms (fractional coordinates):
Th  0.9409  0.6083  0.8238
Th  0.7258  0.7258  0.1745
Th  0.0591  0.3917  0.1762
Th  0.6083  0.9409  0.8238
Th  0.2742  0.2742  0.8255
Th  0.3917  0.0591  0.1762
Hg  0.1659  0.8341  0.5000
Hg  0.8341  0.1659  0.5000
Hg  0.5000  0.5000  0.5000
C  0.3321  0.6679  0.0000
C  0.6679  0.3321  0.0000
N  0.0000  0.0000  0.0000



The following is a PBE calculation of a relaxed structure of Zr6Hg3C2N, from Alexandria via LeMat-Bulk.

Values from the calculation:
**Raw formation energy**: -0.749 eV per atom
**M_tot**: 0.0 μB per cell

Lattice parameters (Å, degrees): 5.8114 5.8114 7.6720 97.36 97.36 120.13
Atoms (fractional coordinates):
Zr  0.9430  0.6106  0.8322
Zr  0.7246  0.7246  0.1673
Zr  0.0570  0.3894  0.1678
Zr  0.6106  0.9430  0.8322
Zr  0.2754  0.2754  0.8327
Zr  0.3894  0.0570  0.1678
Hg  0.1669  0.8331  0.5000
Hg  0.8331  0.1669  0.5000
Hg  0.5000  0.5000  0.5000
C  0.3333  0.6667  0.0000
C  0.6667  0.3333  0.0000
N  0.0000  0.0000  0.0000



The following is a PBE calculation of a relaxed structure of NaHg2C, from Alexandria via LeMat-Bulk.

Values from the calculation:
**Energy of formation from the pure elements**: 3.06 eV/f.u.
**M_tot**: 0.5 μB per cell

Lattice parameters (Å, degrees): 6.9799 6.9799 6.9828 60.01 60.01 90.00
Atoms (fractional coordinates):
Na  0.0000  0.0000  0.0000
Na  0.7500  0.2500  0.5000
C  0.5000  0.5000  0.0000
C  0.2500  0.7500  0.5000
Hg  0.3754  0.1250  0.2500
Hg  0.3746  0.6250  0.2500
Hg  0.3750  0.6246  0.7500
Hg  0.8750  0.6254  0.7500



The following is a PBE calculation of a relaxed structure of NaHg3C, from Alexandria via LeMat-Bulk.

Values from the calculation:
**Energy of formation from the pure elements**: 4.01 eV/f.u.
**M_tot**: 0.0 μB per cell
**Offset from the most stable computed form**: 0.0000 eV per atom

Lattice parameters (Å, degrees): 4.9143 4.9143 4.9143 90.00 90.00 90.00
Atoms (fractional coordinates):
Na  0.5000  0.5000  0.5000
C  0.0000  0.0000  0.0000
Hg  0.0000  0.5000  0.0000
Hg  0.0000  0.0000  0.5000
Hg  0.5000  0.0000  0.0000



The following is a PBE calculation of a relaxed structure of NaHg3C, from Alexandria via LeMat-Bulk.

Values from the calculation:
**Energy of formation from the pure elements**: 7.13 eV/f.u.
**M_tot**: 2.8 μB per cell
**Offset from the most stable computed form**: 0.6230 eV per atom

Lattice parameters (Å, degrees): 5.8882 5.8882 5.8882 90.00 90.00 90.00
Atoms (fractional coordinates):
Na  0.0000  0.0000  0.0000
C  0.5000  0.5000  0.5000
Hg  0.0000  0.5000  0.0000
Hg  0.0000  0.0000  0.5000
Hg  0.5000  0.0000  0.0000